Entry from Alexandria: a relaxed structure of AgH6Ir2 (PBE-GGA).

The structure in CIF format:
```
data_AgH6Ir2
_symmetry_space_group_name_H-M 'C 1 2/c 1'
_symmetry_Int_Tables_number 15
_cell_length_a 9.666
_cell_length_b 7.986
_cell_length_c 4.729
_cell_angle_alpha 90.00
_cell_angle_beta 97.45
_cell_angle_gamma 90.00
loop_
_symmetry_equiv_pos_as_xyz
'x,y,z'
'-x,-y,-z'
'-x,y,-z+1/2'
'x,-y,z+1/2'
'x+1/2,y+1/2,z'
'-x+1/2,-y+1/2,-z'
'-x+1/2,y+1/2,-z+1/2'
'x+1/2,-y+1/2,z+1/2'
loop_
_atom_site_label
_atom_site_type_symbol
_atom_site_fract_x
_atom_site_fract_y
_atom_site_fract_z
Ag1 Ag 0.000 0.108 0.250
H1 H 0.140 0.264 0.096
H2 H 0.143 0.443 0.678
H3 H 0.180 0.115 0.625
Ir1 Ir 0.250 0.080 0.982
```

DFT total energy ... -0.1588 Ha/atom

=====

Entry from Alexandria: a relaxed structure of Ag2H2Ir (PBE-GGA).

The structure in CIF format:
```
data_Ag2H2Ir
_symmetry_space_group_name_H-M 'P 4/m b m'
_symmetry_Int_Tables_number 127
_symmetry_space_group_name_Hall '-P 4 2ab'
_cell_length_a 5.349
_cell_length_b 5.349
_cell_length_c 4.213
_cell_angle_alpha 90.00
_cell_angle_beta 90.00
_cell_angle_gamma 90.00
loop_
_atom_site_label
_atom_site_type_symbol
_atom_site_fract_x
_atom_site_fract_y
_atom_site_fract_z
Ag1 Ag 0.193 0.307 0.000
H1 H 0.240 0.260 0.500
Ir1 Ir 0.000 0.000 0.500
```

DFT total energy ... -0.1462 Ha/atom

=====

Entry from Alexandria: a relaxed structure of AgH2Ir2 (PBE-GGA).

The structure in CIF format:
```
data_AgH2Ir2
_symmetry_space_group_name_H-M 'P 4/m b m'
_symmetry_Int_Tables_number 127
_symmetry_space_group_name_Hall '-P 4 2ab'
_cell_length_a 6.383
_cell_length_b 6.383
_cell_length_c 2.731
_cell_angle_alpha 90.00
_cell_angle_beta 90.00
_cell_angle_gamma 90.00
loop_
_atom_site_label
_atom_site_type_symbol
_atom_site_fract_x
_atom_site_fract_y
_atom_site_fract_z
Ag1 Ag 0.000 0.000 0.000
H1 H 0.096 0.404 0.000
Ir1 Ir 0.140 0.640 0.500
```

DFT total energy ... -0.1754 Ha/atom
Energy above the lowest structure with this stoichiometry ... 265 meV per atom

=====

Entry from Alexandria: a relaxed structure of AgH2Ir2 (PBE-GGA).

The structure in CIF format:
```
data_AgH2Ir2
_symmetry_space_group_name_H-M 'I 4/m m m'
_symmetry_Int_Tables_number 139
_symmetry_space_group_name_Hall '-I 4 2'
_cell_length_a 3.568
_cell_length_b 3.568
_cell_length_c 8.344
_cell_angle_alpha 90.00
_cell_angle_beta 90.00
_cell_angle_gamma 90.00
loop_
_atom_site_label
_atom_site_type_symbol
_atom_site_fract_x
_atom_site_fract_y
_atom_site_fract_z
Ag1 Ag 0.000 0.000 0.000
H1 H 0.000 0.500 0.250
Ir1 Ir 0.000 0.000 0.337
```

DFT total energy ... -0.1851 Ha/atom
Energy above the lowest structure with this stoichiometry ... 0 meV per atom

=====

Entry from Alexandria: a relaxed structure of AgHIr2 (PBE-GGA).

The structure in CIF format:
```
data_AgHIr2
_symmetry_space_group_name_H-M 'I -4 2 d'
_symmetry_Int_Tables_number 122
_symmetry_space_group_name_Hall 'I -4 2bw'
_cell_length_a 6.268
_cell_length_b 6.268
_cell_length_c 5.180
_cell_angle_alpha 90.00
_cell_angle_beta 90.00
_cell_angle_gamma 90.00
loop_
_atom_site_label
_atom_site_type_symbol
_atom_site_fract_x
_atom_site_fract_y
_atom_site_fract_z
Ag1 Ag 0.000 0.000 0.000
H1 H 0.000 0.000 0.500
Ir1 Ir 0.147 0.250 0.625
```

DFT total energy ... -0.1978 Ha/atom
Energy above the lowest structure with this stoichiometry ... 0 meV per atom

=====

Entry from Alexandria: a relaxed structure of Ag3HIr (PBE-GGA).

The structure in CIF format:
```
data_Ag3HIr
_symmetry_space_group_name_H-M 'P m -3 m'
_symmetry_Int_Tables_number 221
_symmetry_space_group_name_Hall '-P 4 2 3'
_cell_length_a 5.154
_cell_length_b 5.154
_cell_length_c 5.154
_cell_angle_alpha 90.00
_cell_angle_beta 90.00
_cell_angle_gamma 90.00
loop_
_atom_site_label
_atom_site_type_symbol
_atom_site_fract_x
_atom_site_fract_y
_atom_site_fract_z
Ag1 Ag 0.000 0.000 0.500
H1 H 0.500 0.500 0.500
Ir1 Ir 0.000 0.000 0.000
```

DFT total energy ... -0.0946 Ha/atom
Energy above the lowest structure with this stoichiometry ... 1009 meV per atom

=====

Entry from Alexandria: a relaxed structure of LaAgH6Ir (PBE-GGA).

The structure in CIF format:
```
data_LaAgH6Ir
_symmetry_space_group_name_H-M 'P -6 m 2'
_symmetry_Int_Tables_number 187
_symmetry_space_group_name_Hall 'P -6 2'
_cell_length_a 4.8805
_cell_length_b 4.8805
_cell_length_c 4.4262
_cell_angle_alpha 90.00
_cell_angle_beta 90.00
_cell_angle_gamma 120.00
loop_
_atom_site_label
_atom_site_type_symbol
_atom_site_fract_x
_atom_site_fract_y
_atom_site_fract_z
La1 La 0.0000 0.0000 0.0000
Ag1 Ag 0.3333 0.6667 0.5000
H1 H 0.5210 0.0420 0.2289
Ir1 Ir 0.6667 0.3333 0.5000
```

DFT total energy ... -0.1603 Ha/atom

=====

Entry from Alexandria: a relaxed structure of La2AgHIr (PBE-GGA).

The structure in CIF format:
```
data_La2AgHIr
_symmetry_space_group_name_H-M 'P 4/m m m'
_symmetry_Int_Tables_number 123
_symmetry_space_group_name_Hall '-P 4 2'
_cell_length_a 5.327
_cell_length_b 5.327
_cell_length_c 3.680
_cell_angle_alpha 90.00
_cell_angle_beta 90.00
_cell_angle_gamma 90.00
loop_
_atom_site_label
_atom_site_type_symbol
_atom_site_fract_x
_atom_site_fract_y
_atom_site_fract_z
La1 La 0.000 0.500 0.000
Ag1 Ag 0.000 0.000 0.500
H1 H 0.500 0.500 0.000
Ir1 Ir 0.500 0.500 0.500
```

DFT total energy ... -0.1998 Ha/atom
Energy above the lowest structure with this stoichiometry ... 0 meV per atom